The following is a DFT calculation (meta-GGA SCAN) of a PBEsol-optimized structure of AlZn3P.

The raw total energy comes out at -10.85 eV per atom. As for the offset from the most stable computed form: 0.3399 eV per atom. Its size of the total moment is 0.0 Bohr magnetons per cell. The calculation puts the formation energy at 0.884 eV per atom. The calculation puts the density at 4.086 g/cm³. The value obtained for the volume is 103.3 Å³ per cell.

a = 4.6921 Å, b = 4.6921 Å, c = 4.6921 Å
α = 90.00°, β = 90.00°, γ = 90.00°
Closest atoms and distances in Å follow each position.
Fractional positions:
Al1 0.0000 0.0000 0.0000  6 Zn 2.35
Zn1 0.0000 0.0000 0.5000  2 Al 2.35
Zn2 0.0000 0.5000 0.0000  2 Al 2.35
Zn3 0.5000 0.0000 0.0000  2 Al 2.35
P1 0.5000 0.5000 0.5000  12 Zn 3.32